Below is ScCdBi2Cl after structural relaxation, with properties calculated at the PBE level.

POSCAR file:
```
ScCdBi2Cl
1.0
5.473 0.000 0.000
0.000 5.473 0.000
0.000 0.000 5.216
Sc Cd Bi Cl
1 1 2 1
Direct
0.000 0.000 0.000
0.500 0.500 0.000
0.000 0.500 0.500
0.500 0.000 0.500
0.500 0.500 0.500
```

Output
Symmetry: P4/mmm, No. 123
Mass density: 6491 kg/m³
E_tot: -3.03 eV per atom



Below is SrCdBiCl after structural relaxation, with properties calculated at the PBE level.

POSCAR file:
```
SrCdBiCl
1.0
4.787 0.000 0.000
0.000 4.787 0.000
0.000 0.000 10.330
Sr Cd Bi Cl
2 2 2 2
Direct
0.250 0.250 0.173
0.750 0.750 0.827
0.250 0.750 0.500
0.750 0.250 0.500
0.250 0.250 0.688
0.750 0.750 0.312
0.250 0.750 0.000
0.750 0.250 0.000
```

Output
Symmetry: P4/nmm, No. 129
Mass density: 6236 kg/m³
E_tot: -3.22 eV per atom



Below is CdTc2BiCl after structural relaxation, with properties calculated at the PBE level.

POSCAR file:
```
CdTc2BiCl
1.0
5.281 0.000 0.000
0.000 5.281 0.000
0.000 0.000 4.889
Cd Tc Bi Cl
1 2 1 1
Direct
0.000 0.000 0.000
0.000 0.500 0.000
0.500 0.000 0.000
0.500 0.500 0.500
0.000 0.000 0.500
```

Output
Symmetry: P4/mmm, No. 123
Mass density: 6733 kg/m³
E_tot: -3.90 eV per atom



Below is Cd2BiTeCl after structural relaxation, with properties calculated at the PBE level.

POSCAR file:
```
Cd2BiTeCl
1.0
5.759 0.000 0.000
0.000 5.759 0.000
0.000 0.000 5.152
Cd Bi Te Cl
2 1 1 1
Direct
0.000 0.500 0.000
0.500 0.000 0.000
0.000 0.000 0.500
0.500 0.500 0.000
0.500 0.500 0.500
```

Output
Symmetry: P4/mmm, No. 123
Mass density: 5801 kg/m³
E_tot: -1.87 eV per atom



Below is Cd3CoBi after structural relaxation, with properties calculated at the PBE level.

POSCAR file:
```
Cd3CoBi
1.0
5.000 0.000 0.000
0.000 5.000 0.000
0.000 0.000 5.000
Cd Co Bi
3 1 1
Direct
0.000 0.000 0.500
0.000 0.500 0.000
0.500 0.000 0.000
0.000 0.000 0.000
0.500 0.500 0.500
```

Output
Symmetry: Pm-3m, No. 221
Energy above the lowest structure with this stoichiometry: 0.00 eV/f.u.
Mass density: 8040 kg/m³
DFT formation energy: 0.434 eV per atom



Below is Cd2CoBi2 after structural relaxation, with properties calculated at the PBE level.

POSCAR file:
```
Cd2CoBi2
1.0
4.478 0.000 0.000
0.000 4.478 0.000
0.000 0.000 14.530
Cd Co Bi
4 2 4
Direct
0.000 0.000 0.092
0.000 0.000 0.908
0.500 0.500 0.408
0.500 0.500 0.592
0.000 0.000 0.500
0.500 0.500 0.000
0.000 0.500 0.250
0.000 0.500 0.750
0.500 0.000 0.250
0.500 0.000 0.750
```

Output
Symmetry: I4/mmm, No. 139
Energy above the lowest structure with this stoichiometry: 1.63 eV/f.u.
Mass density: 7999 kg/m³
DFT formation energy: 0.789 eV per atom



Below is Cd2CoBi after structural relaxation, with properties calculated at the PBE level.

POSCAR file:
```
Cd2CoBi
1.0
3.179 0.000 0.000
-1.590 2.753 0.000
0.000 0.000 33.066
Cd Co Bi
6 3 3
Direct
0.000 0.000 0.079
0.000 0.000 0.921
0.333 0.667 0.588
0.333 0.667 0.746
0.667 0.333 0.254
0.667 0.333 0.412
0.000 0.000 0.000
0.333 0.667 0.667
0.667 0.333 0.333
0.000 0.000 0.500
0.333 0.667 0.167
0.667 0.333 0.833
```

Output
Symmetry: R-3m, No. 166
Mass density: 8482 kg/m³
DFT formation energy: 0.679 eV per atom



Below is CdCo2Bi after structural relaxation, with properties calculated at the PBE level.

POSCAR file:
```
CdCo2Bi
1.0
7.170 0.000 0.000
0.000 7.170 0.000
0.000 0.000 5.803
Cd Co Bi
4 8 4
Direct
0.000 0.000 0.000
0.000 0.500 0.250
0.500 0.000 0.750
0.500 0.500 0.500
0.245 0.750 0.625
0.250 0.245 0.375
0.250 0.255 0.875
0.255 0.750 0.125
0.745 0.250 0.125
0.750 0.745 0.875
0.750 0.755 0.375
0.755 0.250 0.625
0.000 0.000 0.500
0.000 0.500 0.750
0.500 0.000 0.250
0.500 0.500 0.000
```

Output
Symmetry: I-42d, No. 122
Energy above the lowest structure with this stoichiometry: 1.34 eV/f.u.
Mass density: 9779 kg/m³
DFT formation energy: 0.757 eV per atom



Below is CdCo2Bi after structural relaxation, with properties calculated at the PBE level.

POSCAR file:
```
CdCo2Bi
1.0
6.430 0.000 0.000
0.000 6.430 0.000
0.000 0.000 6.430
Cd Co Bi
4 8 4
Direct
0.000 0.000 0.000
0.000 0.500 0.500
0.500 0.000 0.500
0.500 0.500 0.000
0.250 0.250 0.250
0.250 0.250 0.750
0.250 0.750 0.250
0.250 0.750 0.750
0.750 0.250 0.250
0.750 0.250 0.750
0.750 0.750 0.250
0.750 0.750 0.750
0.000 0.000 0.500
0.000 0.500 0.000
0.500 0.000 0.000
0.500 0.500 0.500
```

Output
Symmetry: Fm-3m, No. 225
Energy above the lowest structure with this stoichiometry: 0.00 eV/f.u.
Mass density: 10975 kg/m³
DFT formation energy: 0.422 eV per atom



Below is Cd2CoBi after structural relaxation, with properties calculated at the PBE level.

POSCAR file:
```
Cd2CoBi
1.0
4.083 0.000 0.000
0.000 4.083 0.000
0.000 0.000 21.407
Cd Co Bi
8 4 4
Direct
0.232 0.250 0.125
0.250 0.732 0.375
0.250 0.768 0.875
0.268 0.250 0.625
0.732 0.750 0.625
0.750 0.232 0.875
0.750 0.268 0.375
0.768 0.750 0.125
0.000 0.000 0.000
0.000 0.500 0.250
0.500 0.000 0.750
0.500 0.500 0.500
0.000 0.000 0.500
0.000 0.500 0.750
0.500 0.000 0.250
0.500 0.500 0.000
```

Output
Symmetry: I-42d, No. 122
Mass density: 9171 kg/m³
DFT formation energy: 0.446 eV per atom



Below is Cd2CoBi2 after structural relaxation, with properties calculated at the PBE level.

POSCAR file:
```
Cd2CoBi2
1.0
7.055 0.000 0.000
0.000 7.055 0.000
0.000 0.000 4.974
Cd Co Bi
4 2 4
Direct
0.151 0.349 0.000
0.349 0.849 0.000
0.651 0.151 0.000
0.849 0.651 0.000
0.000 0.000 0.000
0.500 0.500 0.000
0.169 0.669 0.500
0.331 0.169 0.500
0.669 0.831 0.500
0.831 0.331 0.500
```

Output
Symmetry: P4/mbm, No. 127
Energy above the lowest structure with this stoichiometry: 0.00 eV/f.u.
Mass density: 9413 kg/m³
DFT formation energy: 0.464 eV per atom



> The lowest mass density belongs to which entry?

Cd2BiTeCl



> The lowest mass density belongs to which entry?

Cd2BiTeCl



> Which of these has the highest mass density?

number 9



> mass density of number 3 (CdTc2BiCl)?

6733 kg/m³